# LiSm2AlO5 (GGA-PBE, optimized geometry)
data_LiSm2AlO5
_chemical_formula_sum 'Li2 Sm4 Al2 O10'
_space_group_name_H-M_alt 'P 4/m b m'
_space_group_IT_number 127
_space_group_name_Hall '-P 4 2ab'
_cell_length_a 6.575
_cell_length_b 6.575
_cell_length_c 5.634
_cell_angle_alpha 90.00
_cell_angle_beta 90.00
_cell_angle_gamma 90.00
loop_
_atom_site_label
_atom_site_fract_x
_atom_site_fract_y
_atom_site_fract_z
Li1 0.000 0.000 0.000
Sm1 0.178 0.322 0.500
Al1 0.000 0.500 0.000
O1 0.000 0.000 0.500
O2 0.134 0.634 0.232
# DOS at the Fermi energy (states/eV/cell): 0.00
# Final energy (eV/f.u.): -64.85
# V (Å³/cell): 243.6